TbPrLuSn: relaxed, PBE-GGA.

extended XYZ file:
```
4
Lattice="0.000 3.863 3.863 3.863 0.000 3.863 3.863 3.863 0.000" Properties=species:S:1:pos:R:3 pbc="T T T"
Tb 0.000 0.000 0.000
Pr 3.863 3.863 3.863
Lu 1.931 1.931 1.931
Sn 5.794 5.794 5.794
```

Output
The total energy is -4.73 eV per atom. The density of states at the Fermi level is 1.63 states/eV/atom. As for the energy of formation: -23.85 kJ/mol of atoms. The symmetry is F-43m, No. 216. The calculation puts the size of the total moment at 0.0 μB/cell.


PrLuTlSn: relaxed, PBE-GGA.

extended XYZ file:
```
4
Lattice="0.000 3.831 3.831 3.831 0.000 3.831 3.831 3.831 0.000" Properties=species:S:1:pos:R:3 pbc="T T T"
Pr 0.000 0.000 0.000
Lu 3.831 3.831 3.831
Tl 5.747 5.747 5.747
Sn 1.916 1.916 1.916
```

Output
The total energy is -4.34 eV per atom. The density of states at the Fermi level is 0.90 states/eV/atom. As for the energy of formation: -40.82 kJ/mol of atoms. The symmetry is F-43m, No. 216. The calculation puts the size of the total moment at 0.0 μB/cell.


SrPrLu2: relaxed, PBE-GGA.

extended XYZ file:
```
4
Lattice="3.704 0.000 0.000 0.000 3.704 0.000 0.000 0.000 10.493" Properties=species:S:1:pos:R:3 pbc="T T T"
Sr 0.000 0.000 0.000
Pr 0.000 0.000 5.247
Lu 1.852 1.852 2.904
Lu 1.852 1.852 7.589
```

Output
The total energy is -3.72 eV per atom. The density of states at the Fermi level is 1.59 states/eV/atom. As for the energy of formation: 14.86 kJ/mol of atoms. The symmetry is P4/mmm, No. 123. The calculation puts the size of the total moment at 0.0 μB/cell.


TbPrLu2: relaxed, PBE-GGA.

extended XYZ file:
```
4
Lattice="0.000 3.997 3.997 3.997 0.000 3.997 3.997 3.997 0.000" Properties=species:S:1:pos:R:3 pbc="T T T"
Tb 0.000 0.000 0.000
Pr 3.997 3.997 3.997
Lu 1.998 1.998 1.998
Lu 5.995 5.995 5.995
```

Output
The total energy is -4.52 eV per atom. The value obtained for the excess energy over the best structure of this formula in the dataset is 60 meV/atom. The density of states at the Fermi level is 1.34 states/eV/atom. As for the energy of formation: 8.70 kJ/mol of atoms. The symmetry is Fm-3m, No. 225. The calculation puts the size of the total moment at 0.0 μB/cell.


TbPrLu2: relaxed, PBE-GGA.

extended XYZ file:
```
4
Lattice="3.570 0.000 0.000 0.000 3.570 0.000 0.000 0.000 9.930" Properties=species:S:1:pos:R:3 pbc="T T T"
Tb 0.000 0.000 0.000
Pr 0.000 0.000 4.965
Lu 1.785 1.785 2.433
Lu 1.785 1.785 7.497
```

Output
The total energy is -4.58 eV per atom. The value obtained for the excess energy over the best structure of this formula in the dataset is 3 meV/atom. The density of states at the Fermi level is 1.63 states/eV/atom. As for the energy of formation: 3.21 kJ/mol of atoms. The symmetry is P4/mmm, No. 123. The calculation puts the size of the total moment at 0.0 μB/cell.


TbPrLu2: relaxed, PBE-GGA.

extended XYZ file:
```
4
Lattice="5.049 0.000 0.000 0.000 5.049 0.000 0.000 0.000 4.952" Properties=species:S:1:pos:R:3 pbc="T T T"
Tb 0.000 0.000 0.000
Pr 2.525 2.525 0.000
Lu 0.000 2.525 2.476
Lu 2.525 0.000 2.476
```

Output
The total energy is -4.58 eV per atom. The value obtained for the excess energy over the best structure of this formula in the dataset is 0 meV/atom. The density of states at the Fermi level is 1.59 states/eV/atom. As for the energy of formation: 2.92 kJ/mol of atoms. The symmetry is P4/mmm, No. 123. The calculation puts the size of the total moment at 0.0 μB/cell.